1:
Compound: Sr2Al2O
Source: Alexandria
Functional: PBE-GGA
Structure: optimized geometry

Cell and atoms, written as POSCAR:
```
Sr2Al2O
1.0
-1.841 -1.318 -2.837
1.938 -3.065 0.167
-5.887 -5.646 4.122
Al Sr O
2 2 1
direct
0.250 0.750 0.500
0.750 0.250 0.500
0.587 0.587 0.825
0.413 0.413 0.175
0.000 0.000 0.000
```

Properties
Space group ... I4/mmm



2:
Compound: Sr2Al2O
Source: Alexandria
Functional: PBE-GGA
Structure: optimized geometry

Cell and atoms, written as POSCAR:
```
Sr2Al2O
1.0
6.853 0.000 0.000
0.000 6.853 0.000
0.000 0.000 5.839
O Sr Al
2 4 4
direct
0.500 0.500 0.000
0.000 0.000 0.000
0.701 0.201 0.000
0.201 0.299 0.000
0.299 0.799 0.000
0.799 0.701 0.000
0.131 0.631 0.500
0.631 0.869 0.500
0.869 0.369 0.500
0.369 0.131 0.500
```

Properties
Space group ... P4/mbm



Stability, highest: 1



1:
Compound: Sr2AlO
Source: Alexandria
Functional: PBE-GGA
Structure: optimized geometry

Cell and atoms, written as POSCAR:
```
Sr2AlO
1.0
0.000 3.749 3.749
3.749 0.000 3.749
3.749 3.749 0.000
Sr Al O
2 1 1
direct
0.250 0.250 0.250
0.750 0.750 0.750
0.500 0.500 0.500
0.000 0.000 0.000
```

Properties
Space group ... Fm-3m



2:
Compound: Sr2AlO
Source: Alexandria
Functional: PBE-GGA
Structure: optimized geometry

Cell and atoms, written as POSCAR:
```
Sr2AlO
1.0
3.664 0.000 0.000
1.832 3.173 0.000
1.832 1.058 9.495
O Sr Al
1 2 1
direct
0.500 0.500 0.500
0.114 0.114 0.657
0.886 0.886 0.343
0.000 0.000 0.000
```

Properties
Space group ... R-3m



Stability, highest: 2



1:
Compound: SrAl3O
Source: Alexandria
Functional: PBE-GGA
Structure: optimized geometry

Cell and atoms, written as POSCAR:
```
SrAl3O
1.0
5.981 0.000 0.000
0.000 5.981 0.000
0.000 0.000 5.981
Al Sr O
3 1 1
direct
0.000 0.500 0.000
0.500 0.000 0.000
0.000 0.000 0.500
0.000 0.000 0.000
0.500 0.500 0.500
```

Properties
Space group ... Pm-3m



2:
Compound: SrAl3O
Source: Alexandria
Functional: PBE-GGA
Structure: optimized geometry

Cell and atoms, written as POSCAR:
```
SrAl3O
1.0
4.618 0.000 0.000
0.000 4.618 0.000
0.000 0.000 4.618
O Al Sr
1 3 1
direct
0.000 0.000 0.000
0.500 0.000 0.000
0.000 0.500 0.000
0.000 0.000 0.500
0.500 0.500 0.500
```

Properties
Space group ... Pm-3m



Stability, highest: 2



1:
Compound: TaAl3O
Source: Alexandria
Functional: PBE-GGA
Structure: optimized geometry

Cell and atoms, written as POSCAR:
```
TaAl3O
1.0
-2.726 0.903 4.232
-3.696 -3.087 -1.723
2.250 -3.977 2.298
Al O Ta
3 1 1
direct
0.000 0.000 0.500
0.500 0.000 0.000
0.000 0.500 0.000
0.500 0.500 0.500
0.000 0.000 0.000
```

Properties
Space group ... Pm-3m



2:
Compound: TaAl3O
Source: Alexandria
Functional: PBE-GGA
Structure: optimized geometry

Cell and atoms, written as POSCAR:
```
TaAl3O
1.0
-2.356 2.066 2.643
-2.067 -3.438 0.845
2.642 -0.847 3.017
Ta Al O
1 3 1
direct
0.500 0.500 0.500
0.500 0.000 0.000
0.000 0.000 0.500
0.000 0.500 0.000
0.000 0.000 0.000
```

Properties
Space group ... Pm-3m



Stability, highest: 2



1:
Compound: Ta2AlO
Source: Alexandria
Functional: PBE-GGA
Structure: optimized geometry

Cell and atoms, written as POSCAR:
```
Ta2AlO
1.0
-3.710 -1.723 1.581
-3.747 2.267 -0.240
-3.167 -1.283 -2.749
Ta Al O
2 1 1
direct
0.250 0.250 0.250
0.750 0.750 0.750
0.500 0.500 0.500
0.000 0.000 0.000
```

Properties
Space group ... Fm-3m



2:
Compound: Ta2AlO
Source: Alexandria
Functional: PBE-GGA
Structure: optimized geometry

Cell and atoms, written as POSCAR:
```
Ta2AlO
1.0
5.133 0.000 0.000
0.000 5.133 0.000
2.566 2.566 5.711
O Ta Al
2 4 2
direct
0.250 0.750 0.500
0.500 0.500 0.000
0.375 0.499 0.750
0.249 0.625 0.250
0.875 0.751 0.750
0.501 0.125 0.250
0.000 0.000 0.000
0.750 0.250 0.500
```

Properties
Space group ... I-42d



Stability, highest: 2



1:
Compound: AlTc2O
Source: Alexandria
Functional: PBE-GGA
Structure: optimized geometry

Cell and atoms, written as POSCAR:
```
AlTc2O
1.0
0.000 2.952 2.952
2.952 0.000 2.952
2.952 2.952 0.000
Tc O Al
2 1 1
direct
0.750 0.750 0.750
0.250 0.250 0.250
0.000 0.000 0.000
0.500 0.500 0.500
```

Properties
Space group ... Fm-3m



2:
Compound: AlTc2O
Source: Alexandria
Functional: PBE-GGA
Structure: optimized geometry

Cell and atoms, written as POSCAR:
```
AlTc2O
1.0
6.752 0.000 0.000
0.000 6.752 0.000
3.376 3.376 2.333
O Tc Al
2 4 2
direct
0.250 0.750 0.500
0.500 0.500 0.000
0.875 0.780 0.750
0.530 0.125 0.250
0.375 0.470 0.750
0.220 0.625 0.250
0.750 0.250 0.500
0.000 0.000 0.000
```

Properties
Space group ... I-42d



Stability, highest: 2



1:
Compound: AlTeO2
Source: Alexandria
Functional: PBE-GGA
Structure: optimized geometry

Cell and atoms, written as POSCAR:
```
AlTeO2
1.0
1.787 0.000 6.962
-0.894 1.548 6.962
-0.894 -1.548 6.962
Al O Te
1 2 1
direct
0.000 0.000 0.000
0.084 0.084 0.084
0.916 0.916 0.916
0.500 0.500 0.500
```

Properties
Space group ... R-3m



2:
Compound: AlTeO2
Source: Alexandria
Functional: PBE-GGA
Structure: optimized geometry

Cell and atoms, written as POSCAR:
```
AlTeO2
1.0
-6.830 -0.606 -0.515
-6.263 -1.818 2.180
-6.506 1.168 1.894
O Te Al
2 1 1
direct
0.120 0.120 0.120
0.880 0.880 0.880
0.000 0.000 0.000
0.500 0.500 0.500
```

Properties
Space group ... R-3m



3:
Compound: AlTeO2
Source: Alexandria
Functional: PBE-GGA
Structure: optimized geometry

Cell and atoms, written as POSCAR:
```
AlTeO2
1.0
0.000 2.983 2.983
2.983 0.000 2.983
2.983 2.983 0.000
O Al Te
2 1 1
direct
0.750 0.750 0.750
0.250 0.250 0.250
0.000 0.000 0.000
0.500 0.500 0.500
```

Properties
Space group ... Fm-3m



4:
Compound: AlTeO2
Source: Alexandria
Functional: PBE-GGA
Structure: optimized geometry

Cell and atoms, written as POSCAR:
```
AlTeO2
1.0
5.278 0.000 0.000
0.000 5.278 0.000
2.639 2.639 4.291
O Al Te
4 2 2
direct
0.466 0.125 0.250
0.284 0.625 0.250
0.375 0.534 0.750
0.875 0.716 0.750
0.500 0.500 0.000
0.250 0.750 0.500
0.750 0.250 0.500
0.000 0.000 0.000
```

Properties
Space group ... I-42d



Stability, highest: 2



1:
Compound: AlTe2O
Source: Alexandria
Functional: PBE-GGA
Structure: optimized geometry

Cell and atoms, written as POSCAR:
```
AlTe2O
1.0
0.629 -4.486 -1.315
-2.667 -1.851 -3.422
1.902 -0.981 -4.203
Al Te O
1 2 1
direct
0.500 0.500 0.500
0.250 0.250 0.250
0.750 0.750 0.750
0.000 0.000 0.000
```

Properties
Space group ... Fm-3m



2:
Compound: AlTe2O
Source: Alexandria
Functional: PBE-GGA
Structure: optimized geometry

Cell and atoms, written as POSCAR:
```
AlTe2O
1.0
-5.423 4.996 0.152
-5.698 2.805 3.749
-2.855 5.902 3.376
Te Al O
2 1 1
direct
0.098 0.098 0.098
0.902 0.902 0.902
0.500 0.500 0.500
0.000 0.000 0.000
```

Properties
Space group ... R-3m



Stability, highest: 2



1:
Compound: Al3TeO
Source: Alexandria
Functional: PBE-GGA
Structure: optimized geometry

Cell and atoms, written as POSCAR:
```
Al3TeO
1.0
-0.584 -3.079 -3.189
3.167 -2.540 1.873
-3.102 -2.014 2.513
Al Te O
3 1 1
direct
0.500 0.000 0.000
0.000 0.500 0.000
0.000 0.000 0.500
0.500 0.500 0.500
0.000 0.000 0.000
```

Properties
Space group ... Pm-3m



2:
Compound: Al3TeO
Source: Alexandria
Functional: PBE-GGA
Structure: optimized geometry

Cell and atoms, written as POSCAR:
```
Al3TeO
1.0
5.388 0.000 0.000
0.000 5.388 0.000
0.000 0.000 5.388
Al O Te
3 1 1
direct
0.000 0.000 0.500
0.500 0.000 0.000
0.000 0.500 0.000
0.500 0.500 0.500
0.000 0.000 0.000
```

Properties
Space group ... Pm-3m



Stability, highest: 1